1.
The following is a DFT calculation (GGA-PBE) of crystalline ScTlZn at its relaxed geometry.

Values from the calculation:
V: 66.83 Å³/f.u.
magnetic moment: 0.0 μB per formula unit
crystal system: tetragonal
energy of formation from the pure elements: -0.10 eV per formula unit
final energy: -3.36 eV per atom

a = 4.2714 Å, b = 4.2714 Å, c = 7.3260 Å
α = 90.00°, β = 90.00°, γ = 90.00°
With the nearest neighbours (Å) after each atom.
Sites, in units of the cell vectors:
Sc1 0.2500 0.2500 0.1626  5 Zn 2.74-3.04
Sc2 0.7500 0.7500 0.8374  5 Zn 2.74-3.04
Tl1 0.2500 0.7500 0.5000  4 Zn 3.00, 4 Tl 3.02, 4 Sc 3.27
Tl2 0.7500 0.2500 0.5000  4 Zn 3.00, 4 Tl 3.02, 4 Sc 3.27
Zn1 0.2500 0.2500 0.7885  5 Sc 2.74-3.04, 4 Tl 3.00
Zn2 0.7500 0.7500 0.2115  5 Sc 2.74-3.04, 4 Tl 3.00

2.
The following is a DFT calculation (GGA-PBE) of crystalline LiMgIn at its relaxed geometry.

Values from the calculation:
V: 67.34 Å³/f.u.
magnetic moment: 0.0 μB per formula unit
crystal system: trigonal
energy of formation from the pure elements: -0.27 eV per formula unit
final energy: -2.17 eV per atom
polymorph energy (0 for the lowest one): 0.093 eV per atom

a = 3.2529 Å, b = 3.2529 Å, c = 7.3490 Å
α = 90.00°, β = 90.00°, γ = 120.00°
With the nearest neighbours (Å) after each atom.
Sites, in units of the cell vectors:
Li1 0.0000 0.0000 0.0000  3 In 2.98, 3 Mg 3.13, 6 Li 3.25
Mg1 0.3333 0.6667 0.3402  3 Li 3.13, 3 In 3.15, 6 Mg 3.25
In1 0.6667 0.3333 0.6848  3 Li 2.98, 3 Mg 3.15, 6 In 3.25

3.
The following is a DFT calculation (GGA-PBE) of crystalline CaH8Pd4Pt at its relaxed geometry.

Values from the calculation:
V: 136.44 Å³/f.u.
magnetic moment: 0.0 μB per formula unit
crystal system: trigonal
final energy: -4.17 eV per atom

a = 5.7764 Å, b = 5.7764 Å, c = 5.7764 Å
α = 60.05°, β = 60.05°, γ = 60.05°
With the nearest neighbours (Å) after each atom.
Sites, in units of the cell vectors:
Ca1 0.0000 0.0000 0.0000  4 H 2.23
H1 0.3856 0.3856 0.3856  4 Pd 1.90-1.95
H2 0.3901 0.3901 0.8541  3 Pd 1.88-2.00, 1 Pt 1.91
H3 0.3901 0.8541 0.3901  3 Pd 1.88-2.00, 1 Pt 1.91
H4 0.4727 0.8362 0.8362  1 Pt 1.77, 2 Pd 1.87
H5 0.8362 0.4727 0.8362  1 Pt 1.77, 2 Pd 1.87
H6 0.8362 0.8362 0.4727  1 Pt 1.77, 2 Pd 1.87
H7 0.8422 0.8422 0.8422  3 Pd 1.83
H8 0.8541 0.3901 0.3901  3 Pd 1.88-2.00, 1 Pt 1.91
Pd1 0.1301 0.6244 0.6244  6 H 1.83-2.00
Pd2 0.2513 0.2513 0.2513  4 H 1.88-1.90
Pd3 0.6244 0.1301 0.6244  6 H 1.83-2.00
Pd4 0.6244 0.6244 0.1301  6 H 1.83-2.00
Pt1 0.6238 0.6238 0.6238  6 H 1.77-1.91

4.
The following is a DFT calculation (GGA-PBE) of crystalline FeIrSCl2 at its relaxed geometry.

Values from the calculation:
V: 109.43 Å³/f.u.
magnetic moment: 3.8 μB per formula unit
uncorrected formation energy: 0.60 eV/atom
crystal system: tetragonal
final energy: -4.43 eV per atom
polymorph energy (0 for the lowest one): 0.000 eV per atom

a = 4.9384 Å, b = 4.9384 Å, c = 4.4871 Å
α = 90.00°, β = 90.00°, γ = 90.00°
With the nearest neighbours (Å) after each atom.
Sites, in units of the cell vectors:
Fe1 0.0000 0.0000 0.0000  8 Cl 3.34, 4 S 3.49
Ir1 0.5000 0.5000 0.5000  2 S 2.24, 4 Cl 2.47
S1 0.5000 0.5000 0.0000  2 Ir 2.24
Cl1 0.0000 0.5000 0.5000  2 Ir 2.47
Cl2 0.5000 0.0000 0.5000  2 Ir 2.47